(1)
The following is a GGA-PBE calculation of an optimized crystal structure of Tb4S3N, from Alexandria via LeMat-Bulk.

abc: 7.780 10.852 3.774
angles: 90.00 90.00 90.00
Space group Cmmm (No. 65)
One atom of each set of equivalent atoms:
Tb1 0.000 0.229 0.000
Tb2 0.217 0.000 0.500
S1 0.000 0.500 0.000
S2 0.250 0.250 0.500
N1 0.000 0.000 0.000

Volume = 19.9 Å³/atom
Energy relative to the lowest polymorph listed for this composition = 0.0 meV/atom
Uncorrected formation energy = -1.90 eV/atom

(2)
The following is a GGA-PBE calculation of an optimized crystal structure of Tb3S2N, from Alexandria via LeMat-Bulk.

abc: 3.6761 3.6761 19.8802
angles: 90.00 90.00 120.00
Space group P6_3/mmc (No. 194)
One atom of each set of equivalent atoms:
Tb1 0.0000 0.0000 0.0000
Tb2 0.3333 0.6667 0.1755
S1 0.3333 0.6667 0.5877
N1 0.0000 0.0000 0.2500

Volume = 19.4 Å³/atom
Uncorrected formation energy = -1.70 eV/atom

(3)
The following is a GGA-PBE calculation of an optimized crystal structure of Tb5S4N, from Alexandria via LeMat-Bulk.

abc: 3.851 3.851 27.422
angles: 90.00 90.00 90.00
Space group I4/mmm (No. 139)
One atom of each set of equivalent atoms:
Tb1 0.000 0.000 0.000
Tb2 0.000 0.000 0.203
Tb3 0.000 0.000 0.415
S1 0.000 0.000 0.100
S2 0.000 0.000 0.305
N1 0.000 0.000 0.500

Volume = 20.3 Å³/atom
Uncorrected formation energy = -1.89 eV/atom

(4)
The following is a GGA-PBE calculation of an optimized crystal structure of Tb4S2N, from Alexandria via LeMat-Bulk.

abc: 3.6974 3.6974 38.0525
angles: 90.00 90.00 120.00
Space group R-3m (No. 166, hexagonal axes)
One atom of each set of equivalent atoms:
Tb1 0.0000 0.0000 0.1284
Tb2 0.0000 0.0000 0.2984
S1 0.0000 0.0000 0.4147
N1 0.0000 0.0000 0.0000

Volume = 21.5 Å³/atom
Uncorrected formation energy = -1.59 eV/atom

(5)
The following is a GGA-PBE calculation of an optimized crystal structure of Tb2SN, from Alexandria via LeMat-Bulk.

abc: 3.6140 3.6140 19.4096
angles: 90.00 90.00 120.00
Space group R3m (No. 160, hexagonal axes)
One atom of each set of equivalent atoms:
Tb1 0.0000 0.0000 0.0000
Tb2 0.0000 0.0000 0.1960
S1 0.0000 0.0000 0.7647
N1 0.0000 0.0000 0.5943

Volume = 18.3 Å³/atom
Energy relative to the lowest polymorph listed for this composition = 60.0 meV/atom
Uncorrected formation energy = -1.79 eV/atom

(6)
The following is a GGA-PBE calculation of an optimized crystal structure of Tb4S3N, from Alexandria via LeMat-Bulk.

abc: 5.422 5.422 5.422
angles: 90.00 90.00 90.00
Space group Pm-3m (No. 221)
One atom of each set of equivalent atoms:
Tb1 0.000 0.000 0.000
Tb2 0.000 0.500 0.500
S1 0.000 0.000 0.500
N1 0.500 0.500 0.500

Volume = 19.9 Å³/atom
Energy relative to the lowest polymorph listed for this composition = 122.1 meV/atom
Uncorrected formation energy = -1.78 eV/atom

Ordered uncorrected energy results: -6.801; -6.774; -6.690; -6.606; -7.220; -6.679; unit eV/atom.